No. 1
DFT (PBE) results for an optimized crystal structure of ScFeAg2.

abc: 5.4776 5.4776 2.8698
angles: 100.72 100.72 120.09
Last column: nearest neighbours and their distance in Å.
Atoms (fractional coordinates):
Sc1 0.0000 0.0000 0.0000  2 Fe 2.74, 4 Ag 2.85, 2 Sc 2.87
Fe1 0.5000 0.5000 0.0000  2 Sc 2.74, 4 Ag 2.85, 2 Fe 2.87
Ag1 0.0000 0.5000 0.5000  4 Ag 2.74-2.87, 2 Fe 2.85, 2 Sc 2.85
Ag2 0.5000 0.0000 0.5000  4 Ag 2.74-2.87, 2 Fe 2.85, 2 Sc 2.85

density of states at the Fermi level: 3.29 states/eV/f.u.
formation energy: 0.20 eV/atom
crystal system: monoclinic



No. 2
DFT (PBE) results for an optimized crystal structure of ScFeAg2.

abc: 4.9888 4.9888 4.9772
angles: 103.47 103.47 35.24
Last column: nearest neighbours and their distance in Å.
Atoms (fractional coordinates):
Sc1 0.0000 0.0000 0.0000  3 Fe 2.74-3.03, 7 Ag 2.87-2.96, 2 Sc 3.02
Fe1 0.2621 0.2621 0.7556  3 Sc 2.74-3.03, 7 Ag 2.77-2.96, 2 Fe 3.02
Ag1 0.5194 0.5194 0.5193  3 Fe 2.77-2.96, 4 Sc 2.87-2.96, 5 Ag 2.88-3.02
Ag2 0.7628 0.7628 0.2678  4 Fe 2.86-2.96, 5 Ag 2.88-3.02, 3 Sc 2.89-2.95

density of states at the Fermi level: 3.67 states/eV/f.u.
formation energy: 0.13 eV/atom
crystal system: monoclinic



No. 3
DFT (PBE) results for an optimized crystal structure of Sc2FeAg.

abc: 9.6086 9.6086 9.6086
angles: 18.37 18.37 18.37
Last column: nearest neighbours and their distance in Å.
Atoms (fractional coordinates):
Sc1 0.0000 0.0000 0.0000  3 Fe 2.76, 6 Sc 3.07
Sc2 0.2367 0.2367 0.2367  3 Ag 3.01, 9 Sc 3.07-3.26
Fe1 0.7415 0.7415 0.7415  3 Sc 2.76, 3 Ag 2.78, 6 Fe 3.07
Ag1 0.4840 0.4840 0.4840  3 Fe 2.78, 3 Sc 3.01, 6 Ag 3.07

density of states at the Fermi level: 2.83 states/eV/f.u.
formation energy: 0.23 eV/atom
crystal system: trigonal



No. 4
DFT (PBE) results for an optimized crystal structure of ScFeAg.

abc: 4.4554 4.4554 4.4554
angles: 60.00 60.00 60.00
Last column: nearest neighbours and their distance in Å.
Atoms (fractional coordinates):
Sc1 0.0000 0.0000 0.0000  4 Fe 2.73, 4 Ag 2.73
Fe1 0.7500 0.7500 0.7500  4 Sc 2.73
Ag1 0.2500 0.2500 0.2500  4 Sc 2.73

density of states at the Fermi level: 7.29 states/eV/f.u.
formation energy: 0.75 eV/atom
crystal system: cubic



No. 5
DFT (PBE) results for an optimized crystal structure of Sc8Fe2Ag.

abc: 8.2513 8.2513 4.8631
angles: 107.12 107.12 122.32
Last column: nearest neighbours and their distance in Å.
Atoms (fractional coordinates):
Sc1 0.0000 0.0000 0.0000  2 Fe 2.71, 2 Sc 2.99-3.00
Sc2 0.0818 0.7537 0.4180  1 Ag 2.73, 3 Fe 2.82-2.97, 3 Sc 3.02-3.03
Sc3 0.1729 0.5967 0.8851  3 Fe 2.57-2.81
Sc4 0.2775 0.2775 0.7770  1 Ag 2.69, 2 Sc 2.99-3.00
Sc5 0.4346 0.6604 0.5475  1 Fe 2.41
Sc6 0.5967 0.1729 0.8851  3 Fe 2.57-2.81
Sc7 0.6604 0.4346 0.5475  1 Fe 2.41
Sc8 0.7537 0.0818 0.4180  1 Ag 2.73, 3 Fe 2.82-2.97, 3 Sc 3.02-3.03
Fe1 0.0181 0.3561 0.1885  2 Sc 2.41-2.57
Fe2 0.3561 0.0181 0.1885  2 Sc 2.41-2.57
Ag1 0.7036 0.7036 0.2035  3 Sc 2.69-2.73

density of states at the Fermi level: 12.71 states/eV/f.u.
formation energy: -0.10 eV/atom
crystal system: monoclinic



No. 6
DFT (PBE) results for an optimized crystal structure of ScFeAg2.

abc: 3.9770 3.9770 4.3162
angles: 90.00 90.00 90.00
Last column: nearest neighbours and their distance in Å.
Atoms (fractional coordinates):
Sc1 0.0000 0.0000 0.0000  4 Fe 2.81, 8 Ag 2.93
Fe1 0.5000 0.5000 0.0000  4 Sc 2.81, 8 Ag 2.93
Ag1 0.0000 0.5000 0.5000  4 Ag 2.81, 4 Fe 2.93, 4 Sc 2.93
Ag2 0.5000 0.0000 0.5000  4 Ag 2.81, 4 Fe 2.93, 4 Sc 2.93

density of states at the Fermi level: 4.05 states/eV/f.u.
formation energy: 0.09 eV/atom
crystal system: tetragonal



No. 7
DFT (PBE) results for an optimized crystal structure of ScFeAg2.

abc: 5.1293 5.1293 5.1293
angles: 134.11 134.11 66.91
Last column: nearest neighbours and their distance in Å.
Atoms (fractional coordinates):
Sc1 0.0000 0.0000 0.0000  4 Fe 2.83, 8 Ag 2.93
Fe1 0.5000 0.5000 0.0000  4 Sc 2.83, 8 Ag 2.93
Ag1 0.2500 0.7500 0.5000  4 Ag 2.83, 4 Fe 2.93, 4 Sc 2.93
Ag2 0.7500 0.2500 0.5000  4 Ag 2.83, 4 Fe 2.93, 4 Sc 2.93

density of states at the Fermi level: 3.77 states/eV/f.u.
formation energy: 0.06 eV/atom
crystal system: tetragonal



No. 8
DFT (PBE) results for an optimized crystal structure of Sc2FeAg.

abc: 5.8295 5.8295 5.8295
angles: 148.66 133.21 57.40
Last column: nearest neighbours and their distance in Å.
Atoms (fractional coordinates):
Sc1 0.0000 0.0000 0.0000  4 Fe 2.80, 2 Sc 3.12
Sc2 0.7047 0.2047 0.5000  2 Fe 2.74, 4 Ag 2.88
Fe1 0.4854 0.4854 0.0000  2 Ag 2.69, 6 Sc 2.74-2.80
Ag1 0.2719 0.7719 0.5000  2 Fe 2.69, 4 Sc 2.88

density of states at the Fermi level: 4.12 states/eV/f.u.
formation energy: 0.00 eV/atom
crystal system: orthorhombic